No. 1
ErTh2Pd7 (PBE-GGA, relaxed); calculated volume = 211 Å³/f.u.; ΔE_f = -717 meV/atom; D(E_F) = 7.0 states/eV per cell
1.0
-3.4869 -1.0702 -3.6556
-3.0336 -3.9885 1.2476
-2.2926 7.9162 4.9234
Er Th Pd
1 2 7
Direct
0.0000 0.0000 0.0000
0.6673 0.6673 0.3346
0.3327 0.3327 0.6654
0.0830 0.5830 0.1659
0.4170 0.9170 0.8341
0.5830 0.0830 0.1659
0.5000 0.5000 0.0000
0.7500 0.2500 0.5000
0.9170 0.4170 0.8341
0.2500 0.7500 0.5000

---

No. 2
Er3ThPd12 (PBE-GGA, relaxed); calculated volume = 282 Å³/f.u.; ΔE_f = -934 meV/atom; D(E_F) = 9.1 states/eV per cell
1.0
4.1423 0.0000 0.0000
0.0000 4.1423 0.0000
0.0000 0.0000 16.4410
Er Th Pd
3 1 12
Direct
0.0000 0.0000 0.2541
0.0000 0.0000 0.5000
0.0000 0.0000 0.7459
0.0000 0.0000 0.0000
0.5000 0.5000 0.0000
0.5000 0.5000 0.2521
0.5000 0.5000 0.5000
0.5000 0.5000 0.7479
0.5000 0.0000 0.1277
0.5000 0.0000 0.3761
0.5000 0.0000 0.6239
0.5000 0.0000 0.8723
0.0000 0.5000 0.1277
0.0000 0.5000 0.3761
0.0000 0.5000 0.6239
0.0000 0.5000 0.8723

---

No. 3
ErThPd3 (PBE-GGA, relaxed); calculated volume = 111 Å³/f.u.; ΔE_f = -848 meV/atom; D(E_F) = 5.1 states/eV per cell
1.0
4.2576 0.0000 0.0000
0.0000 5.8048 0.0000
0.0000 0.0000 8.9832
Er Th Pd
2 2 6
Direct
0.0000 0.0000 0.5503
0.5000 0.5000 0.4497
0.5000 0.0000 0.1111
0.0000 0.5000 0.8889
0.0000 0.7416 0.2784
0.5000 0.7584 0.7216
0.5000 0.2416 0.7216
0.0000 0.2584 0.2784
0.0000 0.0000 0.8731
0.5000 0.5000 0.1269

---

No. 4
Er4ThPd15 (PBE-GGA, relaxed); calculated volume = 352 Å³/f.u.; ΔE_f = -929 meV/atom; D(E_F) = 10.5 states/eV per cell
1.0
4.1389 0.0000 0.0000
0.0000 4.1389 0.0000
0.0000 0.0000 20.5751
Er Th Pd
4 1 15
Direct
0.0000 0.0000 0.2038
0.0000 0.0000 0.4006
0.0000 0.0000 0.5994
0.0000 0.0000 0.7962
0.0000 0.0000 0.0000
0.5000 0.5000 0.0000
0.5000 0.5000 0.2023
0.5000 0.5000 0.4010
0.5000 0.5000 0.5990
0.5000 0.5000 0.7977
0.5000 0.0000 0.1025
0.5000 0.0000 0.3017
0.5000 0.0000 0.5000
0.5000 0.0000 0.6983
0.5000 0.0000 0.8976
0.0000 0.5000 0.1025
0.0000 0.5000 0.3017
0.0000 0.5000 0.5000
0.0000 0.5000 0.6983
0.0000 0.5000 0.8976